(1)
Computed, not measured: a geometry-optimized CaH2W structure at the GGA-PBE level of DFT.

Geometry as extended XYZ:
```
16
Lattice="5.139 0.000 0.000 0.000 5.139 0.000 0.000 0.000 7.264" Properties=species:S:1:pos:R:3 pbc="T T T"
Ca 0.000 0.000 0.000
Ca 0.000 2.570 1.816
Ca 2.570 0.000 5.448
Ca 2.570 2.570 3.632
H 0.975 1.285 4.540
H 1.285 3.545 6.356
H 1.285 4.164 2.724
H 1.594 1.285 0.908
H 3.545 3.854 0.908
H 3.854 0.975 2.724
H 3.854 1.594 6.356
H 4.164 3.854 4.540
W 0.000 0.000 3.632
W 0.000 2.570 5.448
W 2.570 0.000 1.816
W 2.570 2.570 0.000
```

Summary:
VASP energy (eV/atom): -5.233
M_tot (μB/f.u.): 0.000
Space-group type: I-42d

---

(2)
Computed, not measured: a geometry-optimized CaH2W structure at the GGA-PBE level of DFT.

Geometry as extended XYZ:
```
16
Lattice="5.792 0.000 0.000 0.000 5.792 0.000 0.000 0.000 5.792" Properties=species:S:1:pos:R:3 pbc="T T T"
Ca 0.000 0.000 0.000
Ca 0.000 2.896 2.896
Ca 2.896 0.000 2.896
Ca 2.896 2.896 0.000
H 1.448 1.448 1.448
H 1.448 1.448 4.344
H 1.448 4.344 1.448
H 1.448 4.344 4.344
H 4.344 1.448 1.448
H 4.344 1.448 4.344
H 4.344 4.344 1.448
H 4.344 4.344 4.344
W 0.000 0.000 2.896
W 0.000 2.896 0.000
W 2.896 0.000 0.000
W 2.896 2.896 2.896
```

Summary:
VASP energy (eV/atom): -4.250
M_tot (μB/f.u.): 0.601
Space-group type: Fm-3m

---

(3)
Computed, not measured: a geometry-optimized CaY3H structure at the GGA-PBE level of DFT.

Geometry as extended XYZ:
```
5
Lattice="5.700 0.000 0.000 0.000 5.700 0.000 0.000 0.000 5.700" Properties=species:S:1:pos:R:3 pbc="T T T"
Ca 0.000 0.000 0.000
Y 0.000 0.000 2.850
Y 0.000 2.850 0.000
Y 2.850 0.000 0.000
H 2.850 2.850 2.850
```

Summary:
VASP energy (eV/atom): -3.448
M_tot (μB/f.u.): 0.000
Space-group type: Pm-3m

---

(4)
Computed, not measured: a geometry-optimized CaY3H structure at the GGA-PBE level of DFT.

Geometry as extended XYZ:
```
5
Lattice="5.082 0.000 0.000 0.000 5.082 0.000 0.000 0.000 5.082" Properties=species:S:1:pos:R:3 pbc="T T T"
Ca 0.000 0.000 0.000
Y 0.000 2.541 2.541
Y 2.541 0.000 2.541
Y 2.541 2.541 0.000
H 2.541 2.541 2.541
```

Summary:
VASP energy (eV/atom): -5.015
M_tot (μB/f.u.): 0.000
Space-group type: Pm-3m

---

(5)
Computed, not measured: a geometry-optimized Ca3Y5H12 structure at the GGA-PBE level of DFT.

Geometry as extended XYZ:
```
80
Lattice="-6.717 6.717 6.717 6.717 -6.717 6.717 6.717 6.717 -6.717" Properties=species:S:1:pos:R:3 pbc="T T T"
Ca 3.358 1.679 0.000
Ca 6.717 3.358 -1.679
Ca 1.679 0.000 3.358
Ca 8.396 0.000 3.358
Ca 0.000 3.358 1.679
Ca 3.358 -1.679 6.717
Ca 3.358 8.396 0.000
Ca 6.717 3.358 5.038
Ca -1.679 6.717 3.358
Ca 5.038 6.717 3.358
Ca 0.000 3.358 8.396
Ca 3.358 5.038 6.717
Y 0.000 0.000 0.000
Y 3.358 3.358 -3.358
Y 3.358 -3.358 3.358
Y 6.717 0.000 0.000
Y 10.075 1.679 0.000
Y 6.717 -3.358 5.038
Y 5.038 6.717 -3.358
Y 5.038 0.000 3.358
Y 3.358 5.038 0.000
Y 6.717 3.358 1.679
Y -3.358 3.358 3.358
Y 0.000 6.717 0.000
Y 0.000 0.000 6.717
Y 3.358 3.358 3.358
Y 0.000 3.358 5.038
Y 3.358 1.679 6.717
Y 1.679 6.717 3.358
Y 1.679 0.000 10.075
Y 0.000 10.075 1.679
Y -3.358 5.038 6.717
H 2.109 -0.047 0.678
H 7.966 4.037 -3.405
H 8.826 0.047 0.678
H 7.966 -2.680 3.405
H 6.670 -0.678 2.109
H 10.122 -1.249 2.680
H 0.678 2.109 -0.047
H 9.397 3.312 -1.249
H 4.037 3.405 -1.249
H 6.039 2.109 0.047
H -0.047 0.678 2.109
H 3.405 -1.249 4.037
H 6.670 6.039 -2.109
H 3.405 1.249 2.680
H 4.037 -3.405 7.966
H 6.039 -2.109 6.670
H 2.680 3.405 1.249
H 7.395 4.607 0.047
H 3.405 7.966 -2.680
H 6.670 0.678 4.607
H 2.109 6.670 -0.678
H 7.966 2.680 3.312
H 1.249 2.680 3.405
H 2.109 0.047 6.039
H 4.607 6.670 0.678
H 5.468 4.037 3.312
H -1.249 4.037 3.405
H 4.607 0.047 7.395
H 0.047 6.039 2.109
H 3.312 -1.249 9.397
H -0.678 2.109 6.670
H 4.037 3.312 5.468
H 0.678 8.826 0.047
H 2.680 10.122 -1.249
H 3.312 5.468 4.037
H 0.047 0.678 8.826
H 3.312 7.966 2.680
H 6.764 6.039 4.607
H 0.678 4.607 6.670
H 2.680 3.312 7.966
H -2.680 3.405 7.966
H 6.039 4.607 6.764
H -3.405 7.966 4.037
H 0.047 7.395 4.607
H -1.249 9.397 3.312
H -2.109 6.670 6.039
H -1.249 2.680 10.122
H 4.607 6.764 6.039
```

Summary:
VASP energy (eV/atom): -4.353
M_tot (μB/f.u.): 0.000
Space-group type: Ia-3d

---

(6)
Computed, not measured: a geometry-optimized Ca3YH8 structure at the GGA-PBE level of DFT.

Geometry as extended XYZ:
```
12
Lattice="5.331 0.000 0.000 0.000 5.331 0.000 0.000 0.000 5.331" Properties=species:S:1:pos:R:3 pbc="T T T"
Ca 0.000 0.000 2.666
Ca 0.000 2.666 0.000
Ca 2.666 0.000 0.000
Y 2.666 2.666 2.666
H 1.362 1.362 1.362
H 1.362 1.362 3.969
H 1.362 3.969 1.362
H 1.362 3.969 3.969
H 3.969 1.362 1.362
H 3.969 1.362 3.969
H 3.969 3.969 1.362
H 3.969 3.969 3.969
```

Summary:
VASP energy (eV/atom): -3.861
M_tot (μB/f.u.): 0.000
Space-group type: Pm-3m

---

(7)
Computed, not measured: a geometry-optimized CaY2H structure at the GGA-PBE level of DFT.

Geometry as extended XYZ:
```
16
Lattice="7.678 0.000 0.000 0.000 7.678 0.000 0.000 0.000 7.678" Properties=species:S:1:pos:R:3 pbc="T T T"
Ca 0.000 0.000 0.000
Ca 0.000 3.839 3.839
Ca 3.839 0.000 3.839
Ca 3.839 3.839 0.000
Y 1.919 1.919 1.919
Y 1.919 1.919 5.758
Y 1.919 5.758 1.919
Y 1.919 5.758 5.758
Y 5.758 1.919 1.919
Y 5.758 1.919 5.758
Y 5.758 5.758 1.919
Y 5.758 5.758 5.758
H 0.000 0.000 3.839
H 0.000 3.839 0.000
H 3.839 0.000 0.000
H 3.839 3.839 3.839
```

Summary:
VASP energy (eV/atom): -3.794
M_tot (μB/f.u.): 0.000
Space-group type: Fm-3m

---

(8)
Computed, not measured: a geometry-optimized CaY2H structure at the GGA-PBE level of DFT.

Geometry as extended XYZ:
```
16
Lattice="7.081 0.000 0.000 0.000 7.081 0.000 0.000 0.000 8.823" Properties=species:S:1:pos:R:3 pbc="T T T"
Ca 0.000 0.000 0.000
Ca 0.000 3.540 2.206
Ca 3.540 0.000 6.617
Ca 3.540 3.540 4.412
Y 0.582 1.770 5.514
Y 1.770 4.122 7.720
Y 1.770 6.499 3.309
Y 2.959 1.770 1.103
Y 4.122 5.311 1.103
Y 5.311 0.582 3.309
Y 5.311 2.959 7.720
Y 6.499 5.311 5.514
H 0.000 0.000 4.412
H 0.000 3.540 6.617
H 3.540 0.000 2.206
H 3.540 3.540 0.000
```

Summary:
VASP energy (eV/atom): -4.692
M_tot (μB/f.u.): 0.000
Space-group type: I-42d

---

(9)
Computed, not measured: a geometry-optimized CaYH4 structure at the GGA-PBE level of DFT.

Geometry as extended XYZ:
```
6
Lattice="3.715 0.000 0.000 0.000 3.715 0.000 0.000 0.000 5.330" Properties=species:S:1:pos:R:3 pbc="T T T"
Ca 0.000 0.000 0.000
Y 1.858 1.858 2.665
H 0.000 1.858 1.386
H 0.000 1.858 3.943
H 1.858 0.000 1.386
H 1.858 0.000 3.943
```

Summary:
VASP energy (eV/atom): -4.269
M_tot (μB/f.u.): 0.000
Space-group type: P4/mmm

---

(10)
Computed, not measured: a geometry-optimized Ca2YH structure at the GGA-PBE level of DFT.

Geometry as extended XYZ:
```
12
Lattice="3.591 0.000 0.000 -1.795 3.110 0.000 0.000 0.000 29.463" Properties=species:S:1:pos:R:3 pbc="T T T"
Ca 0.000 0.000 3.424
Ca 0.000 0.000 26.040
Ca 0.000 2.073 16.219
Ca 0.000 2.073 23.066
Ca 1.795 1.037 6.398
Ca 1.795 1.037 13.245
Y 0.000 0.000 0.000
Y 0.000 2.073 19.642
Y 1.795 1.037 9.821
H 0.000 0.000 14.732
H 0.000 2.073 4.911
H 1.795 1.037 24.553
```

Summary:
VASP energy (eV/atom): -3.378
M_tot (μB/f.u.): 0.887
Space-group type: R-3m